# 1
A plane-wave DFT calculation with PBE was carried out for a geometry-optimized Ta2Ni structure.

Geometry as POSCAR:
```
Ta2Ni
1.0
4.1523 0.0000 0.0000
0.0000 4.1523 0.0000
0.0000 0.0000 3.0683
Ta Ni
2 1
Direct
0.0000 0.5000 0.5000 Ta
0.5000 0.0000 0.5000 Ta
0.0000 0.0000 0.0000 Ni
```

Summary:
Its formation energy is 0.403 eV per atom. The calculation puts the density of states at the Fermi level at 1.179 states/eV/atom. Its total moment is 0.00 μB per formula unit.

# 2
A plane-wave DFT calculation with PBE was carried out for a geometry-optimized LaPm4In4 structure.

Geometry as POSCAR:
```
LaPm4In4
1.0
6.2967 0.0000 0.0000
0.0000 9.2459 0.0000
0.0000 0.0000 9.2459
In Pm La
8 8 2
Direct
0.1039 0.7073 0.6037 In
0.8961 0.6037 0.2927 In
0.6039 0.1037 0.7927 In
0.8961 0.3963 0.7073 In
0.6039 0.8963 0.2073 In
0.1039 0.2927 0.3963 In
0.3961 0.7927 0.8963 In
0.3961 0.2073 0.1037 In
0.6228 0.1685 0.4280 Pm
0.6228 0.8315 0.5720 Pm
0.8772 0.6685 0.9280 Pm
0.1228 0.0720 0.6685 Pm
0.8772 0.3315 0.0720 Pm
0.1228 0.9280 0.3315 Pm
0.3772 0.5720 0.1685 Pm
0.3772 0.4280 0.8315 Pm
0.5000 0.5000 0.5000 La
0.0000 0.0000 0.0000 La
```

Summary:
Its formation energy is -0.284 eV per atom. The calculation puts the density of states at the Fermi level at 0.954 states/eV/atom. Its total moment is 0.00 μB per formula unit.

# 3
A plane-wave DFT calculation with PBE was carried out for a geometry-optimized TaReSb3 structure.

Geometry as POSCAR:
```
TaReSb3
1.0
-0.7273 -3.8010 3.3936
5.0279 -1.0918 -0.1452
0.8271 3.2944 3.8672
Sb Re Ta
3 1 1
Direct
0.5000 0.0000 0.0000 Sb
0.0000 0.0000 0.5000 Sb
0.0000 0.5000 0.0000 Sb
0.0000 0.0000 0.0000 Re
0.5000 0.5000 0.5000 Ta
```

Summary:
For the uncorrected formation energy, the calculation gives 1.3953 eV/atom. The calculation puts the density of states at the Fermi level at 1.108 states/eV/atom. Its total moment is 3.53 μB per formula unit.

# 4
A plane-wave DFT calculation with PBE was carried out for a geometry-optimized KZn2Mo structure.

Geometry as POSCAR:
```
KZn2Mo
1.0
-2.3194 -0.7391 1.0708
-0.7284 -2.0227 -2.9740
3.8818 -6.8294 3.6942
Mo Zn K
1 2 1
Direct
0.5000 0.5000 0.8348 Mo
0.5000 0.5000 0.1719 Zn
0.0000 0.0000 0.0041 Zn
0.0000 0.0000 0.4893 K
```

Summary:
Its formation energy is 0.625 eV per atom. The calculation puts the density of states at the Fermi level at 0.782 states/eV/atom. Its total moment is 0.00 μB per formula unit.

# 5
A plane-wave DFT calculation with PBE was carried out for a geometry-optimized Cs2CdGeTe4 structure.

Geometry as POSCAR:
```
Cs2CdGeTe4
1.0
7.0080 0.0000 0.0000
3.5040 7.6275 0.0000
3.5040 0.0000 13.7420
Te Cs Ge Cd
8 4 2 2
Direct
0.2335 0.1968 0.8916 Te
0.8750 0.8032 0.8916 Te
0.8750 0.6968 0.6084 Te
0.4282 0.6968 0.3916 Te
0.5165 0.3032 0.6084 Te
0.3218 0.8032 0.1084 Te
0.5697 0.1968 0.1084 Te
0.1803 0.3032 0.3916 Te
0.9335 0.5000 0.1330 Cs
0.5665 0.5000 0.8670 Cs
0.1835 0.0000 0.6330 Cs
0.8165 0.0000 0.3670 Cs
0.2500 0.5000 0.5000 Ge
0.5000 0.0000 0.0000 Ge
0.7500 0.5000 0.5000 Cd
0.0000 0.0000 0.0000 Cd
```

Summary:
For the uncorrected formation energy, the calculation gives -0.6035 eV/atom. Its total moment is 0.00 μB per formula unit.

# 6
A plane-wave DFT calculation with PBE was carried out for a geometry-optimized K2ZrSe structure.

Geometry as POSCAR:
```
K2ZrSe
1.0
-1.7178 -5.1111 3.2132
1.3951 -1.4638 -6.6282
3.2426 -1.8822 -1.2550
Se K Zr
1 2 1
Direct
0.5000 0.5000 0.0000 Se
0.0000 0.5000 0.5000 K
0.0000 0.0000 0.0000 K
0.5000 0.0000 0.5000 Zr
```

Summary:
For the uncorrected formation energy, the calculation gives 0.1492 eV/atom. The calculation puts the density of states at the Fermi level at 0.593 states/eV/atom. Its total moment is 2.38 μB per formula unit.